Sb5Au12Se3 | Alexandria via LeMat-Bulk | PBE-GGA | relaxed; calculated density = 10.6 g cm⁻³; DFT total energy = -3.410 eV per atom
1.0
13.755 0.000 0.000
-4.585 12.968 0.000
-4.585 -6.484 11.231
Se Sb Au
12 20 48
direct
0.750 0.375 0.125 Se
0.875 0.750 0.125 Se
0.375 0.750 0.625 Se
0.250 0.125 0.375 Se
0.875 0.125 0.250 Se
0.375 0.625 0.250 Se
0.625 0.375 0.750 Se
0.125 0.875 0.750 Se
0.750 0.875 0.625 Se
0.625 0.250 0.375 Se
0.125 0.250 0.875 Se
0.250 0.625 0.875 Se
0.125 0.375 0.250 Sb
0.000 0.500 0.000 Sb
0.000 0.000 0.000 Sb
0.375 0.250 0.125 Sb
0.500 0.000 0.500 Sb
0.500 0.500 0.000 Sb
0.125 0.750 0.375 Sb
0.750 0.125 0.875 Sb
0.750 0.625 0.375 Sb
0.375 0.125 0.750 Sb
0.625 0.875 0.250 Sb
0.500 0.500 0.500 Sb
0.500 0.000 0.000 Sb
0.000 0.000 0.500 Sb
0.250 0.375 0.625 Sb
0.250 0.875 0.125 Sb
0.000 0.500 0.500 Sb
0.875 0.250 0.625 Sb
0.625 0.750 0.875 Sb
0.875 0.625 0.750 Sb
0.736 0.132 0.065 Au
0.330 0.565 0.433 Au
0.935 0.368 0.264 Au
0.565 0.236 0.132 Au
0.604 0.736 0.670 Au
0.935 0.567 0.170 Au
0.330 0.764 0.396 Au
0.067 0.896 0.132 Au
0.567 0.935 0.670 Au
0.736 0.604 0.170 Au
0.764 0.435 0.368 Au
0.830 0.933 0.065 Au
0.132 0.736 0.565 Au
0.368 0.433 0.104 Au
0.104 0.933 0.368 Au
0.396 0.132 0.567 Au
0.104 0.170 0.236 Au
0.435 0.670 0.067 Au
0.830 0.896 0.264 Au
0.132 0.396 0.067 Au
0.368 0.935 0.764 Au
0.567 0.632 0.396 Au
0.933 0.830 0.565 Au
0.764 0.330 0.896 Au
0.433 0.368 0.604 Au
0.067 0.170 0.435 Au
0.236 0.670 0.104 Au
0.170 0.104 0.736 Au
0.632 0.065 0.236 Au
0.868 0.604 0.933 Au
0.565 0.330 0.933 Au
0.604 0.868 0.433 Au
0.896 0.830 0.764 Au
0.896 0.067 0.632 Au
0.868 0.264 0.435 Au
0.170 0.067 0.935 Au
0.632 0.567 0.896 Au
0.433 0.065 0.330 Au
0.264 0.396 0.830 Au
0.236 0.565 0.632 Au
0.933 0.104 0.868 Au
0.670 0.236 0.604 Au
0.435 0.764 0.868 Au
0.065 0.433 0.830 Au
0.396 0.264 0.330 Au
0.065 0.632 0.736 Au
0.670 0.435 0.567 Au
0.264 0.868 0.935 Au